SrLuCu4: optimized geometry, PBE.

Summary:
* N(E_F): 7.593 states/eV per cell
* energy of formation from the pure elements: 0.00 eV/atom
* crystal system: cubic
* energy: -3.77 eV per atom

a b c (Å): 5.3421 5.3421 5.3421
angles (deg): 60.00 60.00 60.00
Closest atoms and distances in Å follow each position.
Atoms (fractional coordinates):
Cu 0.6234 0.6234 0.6234  6 Cu 2.64-2.71
Cu 0.6234 0.1298 0.6234  6 Cu 2.64-2.71
Cu 0.6234 0.6234 0.1298  6 Cu 2.64-2.71
Cu 0.1298 0.6234 0.6234  6 Cu 2.64-2.71
Sr 0.0000 0.0000 0.0000  12 Cu 3.14, 4 Lu 3.27
Lu 0.2500 0.2500 0.2500  12 Cu 3.13, 4 Sr 3.27

=====

SrLuCu2: optimized geometry, PBE.

Summary:
* N(E_F): 2.365 states/eV per cell
* energy relative to the lowest polymorph listed for this composition: 0.36 eV/f.u.
* energy of formation from the pure elements: -0.04 eV/atom
* crystal system: tetragonal
* energy: -3.64 eV per atom

a b c (Å): 3.4704 5.0825 5.0825
angles (deg): 90.00 90.00 90.00
Closest atoms and distances in Å follow each position.
Atoms (fractional coordinates):
Lu 0.5000 0.5000 0.5000  8 Cu 3.08
Cu 0.0000 0.5000 0.0000  4 Lu 3.08, 4 Sr 3.08
Cu 0.0000 0.0000 0.5000  4 Sr 3.08, 4 Lu 3.08
Sr 0.5000 0.0000 0.0000  8 Cu 3.08

=====

SrLuCu2: optimized geometry, PBE.

Summary:
* N(E_F): 3.472 states/eV per cell
* energy relative to the lowest polymorph listed for this composition: 0.00 eV/f.u.
* energy of formation from the pure elements: -0.13 eV/atom
* crystal system: tetragonal
* energy: -3.73 eV per atom

a b c (Å): 3.5595 3.5595 7.2596
angles (deg): 90.00 90.00 90.00
Closest atoms and distances in Å follow each position.
Atoms (fractional coordinates):
Lu 0.5000 0.5000 0.0000  8 Cu 2.87
Cu 0.0000 0.0000 0.8088  1 Cu 2.78, 4 Lu 2.87
Cu 0.0000 0.0000 0.1912  1 Cu 2.78, 4 Lu 2.87
Sr 0.5000 0.5000 0.5000  8 Cu 3.37, 4 Sr 3.56, 2 Lu 3.63

=====

SrLuZnCu: optimized geometry, PBE.

Summary:
* N(E_F): 2.176 states/eV per cell
* energy of formation from the pure elements: -0.08 eV/atom
* crystal system: cubic
* energy: -2.97 eV per atom

a b c (Å): 5.1234 5.1234 5.1234
angles (deg): 60.00 60.00 60.00
Closest atoms and distances in Å follow each position.
Atoms (fractional coordinates):
Cu 0.7500 0.7500 0.7500  4 Lu 3.14, 4 Sr 3.14
Sr 0.5000 0.5000 0.5000  4 Cu 3.14, 4 Zn 3.14
Lu 0.0000 0.0000 0.0000  4 Cu 3.14, 4 Zn 3.14
Zn 0.2500 0.2500 0.2500  4 Sr 3.14, 4 Lu 3.14

=====

TbLuCu2: optimized geometry, PBE.

Summary:
* N(E_F): 2.480 states/eV per cell
* energy relative to the lowest polymorph listed for this composition: 0.01 eV/f.u.
* energy of formation from the pure elements: -0.27 eV/atom
* crystal system: cubic
* energy: -4.60 eV per atom

a b c (Å): 4.8638 4.8638 4.8638
angles (deg): 60.00 60.00 60.00
Closest atoms and distances in Å follow each position.
Atoms (fractional coordinates):
Cu 0.7500 0.7500 0.7500  4 Tb 2.98, 4 Lu 2.98
Cu 0.2500 0.2500 0.2500  4 Tb 2.98, 4 Lu 2.98
Lu 0.5000 0.5000 0.5000  8 Cu 2.98
Tb 0.0000 0.0000 0.0000  8 Cu 2.98

=====

TbLu2Cu: optimized geometry, PBE.

Summary:
* N(E_F): 4.983 states/eV per cell
* energy relative to the lowest polymorph listed for this composition: 0.54 eV/f.u.
* energy of formation from the pure elements: 0.01 eV/atom
* crystal system: trigonal
* energy: -4.43 eV per atom

a b c (Å): 3.5535 3.5535 9.8835
angles (deg): 79.64 79.64 60.00
Closest atoms and distances in Å follow each position.
Atoms (fractional coordinates):
Lu 0.7336 0.7336 0.7992  3 Cu 2.82
Lu 0.2664 0.2664 0.2008  3 Cu 2.82
Cu 0.0000 0.0000 0.0000  6 Lu 2.82
Tb 0.5000 0.5000 0.5000  6 Lu 3.55, 6 Tb 3.55

=====

TbLuCu2: optimized geometry, PBE.

Summary:
* N(E_F): 2.627 states/eV per cell
* energy relative to the lowest polymorph listed for this composition: 0.00 eV/f.u.
* energy of formation from the pure elements: -0.27 eV/atom
* crystal system: tetragonal
* energy: -4.61 eV per atom

a b c (Å): 3.4289 3.4289 6.8991
angles (deg): 90.00 90.00 90.00
Closest atoms and distances in Å follow each position.
Atoms (fractional coordinates):
Lu 0.5000 0.5000 0.0000  8 Cu 2.92
Cu 0.0000 0.0000 0.2359  4 Lu 2.92, 4 Tb 3.03, 1 Cu 3.26
Cu 0.0000 0.0000 0.7641  4 Lu 2.92, 4 Tb 3.03, 1 Cu 3.26
Tb 0.5000 0.5000 0.5000  8 Cu 3.03

=====

TbLu2Cu: optimized geometry, PBE.

Summary:
* N(E_F): 5.040 states/eV per cell
* energy relative to the lowest polymorph listed for this composition: 0.00 eV/f.u.
* energy of formation from the pure elements: -0.12 eV/atom
* crystal system: tetragonal
* energy: -4.56 eV per atom

a b c (Å): 3.4172 3.4172 8.6240
angles (deg): 90.00 90.00 90.00
Closest atoms and distances in Å follow each position.
Atoms (fractional coordinates):
Cu 0.5000 0.5000 0.0000  8 Lu 2.95
Tb 0.5000 0.5000 0.5000  4 Tb 3.42, 8 Lu 3.57
Lu 0.0000 0.0000 0.1954  4 Cu 2.95
Lu 0.0000 0.0000 0.8046  4 Cu 2.95